# 1
Here is crystalline BeRh2Au at its relaxed geometry from Alexandria via LeMat-Bulk. Energies are from GGA-PBE.

## Properties
Mass density ... 12593 kg/m³
M_tot ... 0.000 μB per formula unit
Energy ... -5.575 eV per atom

Lattice parameters (Å, degrees): 5.1560 5.1560 4.3797 115.04 115.04 31.28
Closest atoms and distances in Å follow each position.
Fractional positions:
Be  0.0000  0.0000  0.0000  4 Rh 2.33, 4 Au 2.59
Rh  0.2908  0.2908  0.7908  2 Be 2.33
Rh  0.7092  0.7092  0.2092  2 Be 2.33
Au  0.5000  0.5000  0.5000  4 Be 2.59, 2 Au 2.78, 4 Rh 2.87-2.88

***

# 2
Here is crystalline BeRh2Au at its relaxed geometry from Alexandria via LeMat-Bulk. Energies are from GGA-PBE.

## Properties
Mass density ... 12378 kg/m³
M_tot ... 0.739 μB per formula unit
Energy ... -5.529 eV per atom

Lattice parameters (Å, degrees): 8.3646 8.3646 8.3646 19.18 19.18 19.18
Closest atoms and distances in Å follow each position.
Fractional positions:
Be  0.0000  0.0000  0.0000  6 Rh 2.33
Rh  0.2651  0.2651  0.2651  3 Be 2.33
Rh  0.7349  0.7349  0.7349  3 Be 2.33
Au  0.5000  0.5000  0.5000  6 Au 2.79, 6 Rh 2.91

***

# 3
Here is crystalline BeRh2Au at its relaxed geometry from Alexandria via LeMat-Bulk. Energies are from GGA-PBE.

## Properties
Mass density ... 11223 kg/m³
M_tot ... 0.781 μB per formula unit
Energy ... -5.070 eV per atom

Lattice parameters (Å, degrees): 9.4813 9.4813 9.4813 157.77 157.77 31.63
Closest atoms and distances in Å follow each position.
Fractional positions:
Be  0.0000  0.0000  0.0000  4 Au 2.58, 4 Rh 2.60
Be  0.7500  0.2500  0.5000  4 Au 2.58, 4 Rh 2.60
Rh  0.1068  0.6250  0.9818  4 Rh 2.49-2.68, 2 Be 2.60, 2 Au 2.65
Rh  0.3750  0.3568  0.4818  4 Rh 2.49-2.68, 2 Be 2.60, 2 Au 2.65
Rh  0.6432  0.1250  0.0182  4 Rh 2.49-2.68, 2 Be 2.60, 2 Au 2.65
Rh  0.8750  0.8932  0.5182  4 Rh 2.49-2.68, 2 Be 2.60, 2 Au 2.65
Au  0.2500  0.7500  0.5000  4 Be 2.58, 4 Rh 2.65
Au  0.5000  0.5000  0.0000  4 Be 2.58, 4 Rh 2.65

***

# 4
Here is crystalline BeRh2Au at its relaxed geometry from Alexandria via LeMat-Bulk. Energies are from GGA-PBE.

## Properties
Mass density ... 12107 kg/m³
M_tot ... 0.000 μB per formula unit
Energy ... -5.363 eV per atom

Lattice parameters (Å, degrees): 4.4562 4.4562 2.9160 90.00 90.00 102.73
Closest atoms and distances in Å follow each position.
Fractional positions:
Be  0.0000  0.0000  0.0000  8 Rh 2.66, 2 Au 2.78, 2 Be 2.92
Rh  0.0000  0.5000  0.5000  4 Be 2.66, 4 Au 2.66, 4 Rh 2.78-2.92
Rh  0.5000  0.0000  0.5000  4 Be 2.66, 4 Au 2.66, 4 Rh 2.78-2.92
Au  0.5000  0.5000  0.0000  8 Rh 2.66, 2 Be 2.78, 2 Au 2.92

***

# 5
Here is crystalline BeRhAu2Se at its relaxed geometry from Alexandria via LeMat-Bulk. Energies are from GGA-PBE.

## Properties
Mass density ... 9949 kg/m³
M_tot ... 0.000 μB per formula unit
ΔE_f (raw) ... 862.9 meV per atom
Energy ... -3.360 eV per atom

Lattice parameters (Å, degrees): 4.9929 4.9929 3.9154 90.00 90.00 90.00
Closest atoms and distances in Å follow each position.
Fractional positions:
Be  0.0000  0.0000  0.0000  2 Se 1.96
Rh  0.5000  0.5000  0.0000  8 Au 3.17, 4 Be 3.53
Au  0.0000  0.5000  0.5000  2 Se 2.50
Au  0.5000  0.0000  0.5000  2 Se 2.50
Se  0.0000  0.0000  0.5000  2 Be 1.96

***

# 6
Here is crystalline Ta2BeRhAu at its relaxed geometry from Alexandria via LeMat-Bulk. Energies are from GGA-PBE.

## Properties
Mass density ... 13876 kg/m³
M_tot ... 0.000 μB per formula unit
Energy ... -7.202 eV per atom

Lattice parameters (Å, degrees): 4.3637 4.3637 4.2155 90.00 90.00 90.00
Closest atoms and distances in Å follow each position.
Fractional positions:
Ta  0.0000  0.5000  0.0000  2 Be 2.18
Ta  0.5000  0.0000  0.0000  2 Be 2.18
Be  0.0000  0.0000  0.0000  2 Au 2.11, 4 Ta 2.18
Rh  0.5000  0.5000  0.5000  8 Ta 3.03, 4 Au 3.09
Au  0.0000  0.0000  0.5000  2 Be 2.11

***

# 7
Here is crystalline TiBeRh2Au at its relaxed geometry from Alexandria via LeMat-Bulk. Energies are from GGA-PBE.

## Properties
Mass density ... 6823 kg/m³
M_tot ... 0.001 μB per formula unit
Energy ... -4.367 eV per atom

Lattice parameters (Å, degrees): 4.9235 4.9235 4.6146 90.00 90.00 90.00
Closest atoms and distances in Å follow each position.
Fractional positions:
Ti  0.0000  0.0000  0.0000  2 Au 2.31
Be  0.5000  0.5000  0.0000  8 Rh 3.37, 4 Ti 3.48
Rh  0.0000  0.5000  0.5000  2 Au 2.46
Rh  0.5000  0.0000  0.5000  2 Au 2.46
Au  0.0000  0.0000  0.5000  2 Ti 2.31, 4 Rh 2.46

***

# 8
Here is crystalline BeRuAu2 at its relaxed geometry from Alexandria via LeMat-Bulk. Energies are from GGA-PBE.

## Properties
Mass density ... 13916 kg/m³
M_tot ... 0.002 μB per formula unit
Energy ... -4.614 eV per atom

Lattice parameters (Å, degrees): 3.8606 3.8606 4.0352 90.00 90.00 90.00
Closest atoms and distances in Å follow each position.
Fractional positions:
Be  0.0000  0.0000  0.0000  4 Ru 2.73, 8 Au 2.79
Ru  0.5000  0.5000  0.0000  4 Be 2.73, 8 Au 2.79
Au  0.0000  0.5000  0.5000  4 Au 2.73, 4 Ru 2.79, 4 Be 2.79
Au  0.5000  0.0000  0.5000  4 Au 2.73, 4 Ru 2.79, 4 Be 2.79